# 1
The following is a DFT calculation (GGA-PBE) of crystalline Mg2CrNi at its relaxed geometry.

Calculated volume ... 63 Å³/cell
Spin magnetization ... 0.76 μB/atom
Energy relative to the elements ... 0.35 eV per atom
Energy above the most stable polymorph in this dataset ... 163.0 meV per atom
Density ... 4.2 g/cm3

Geometry as POSCAR:
```
Mg2CrNi
1.0
9.036 -0.040 -0.024
8.593 2.795 -0.024
8.593 1.343 2.452
Cr Mg Ni
1 2 1
Direct
0.750 0.750 0.750
0.994 0.994 0.994
0.506 0.506 0.506
0.250 0.250 0.250
```



# 2
The following is a DFT calculation (GGA-PBE) of crystalline Ce2H6PdRh2 at its relaxed geometry.

Calculated volume ... 124 Å³/cell
DFT total energy ... -0.18849 Ha/atom
Spin magnetization ... 0.06 μB/atom
Density ... 8.0 g/cm3

Geometry as POSCAR:
```
Ce2H6PdRh2
1.0
5.374 0.000 0.000
2.687 4.654 0.000
2.687 1.551 4.957
Ce H Pd Rh
2 6 1 2
Direct
0.763 0.763 0.711
0.237 0.237 0.289
0.764 0.764 0.269
0.202 0.764 0.269
0.764 0.202 0.269
0.236 0.798 0.731
0.798 0.236 0.731
0.236 0.236 0.731
0.000 0.000 0.000
0.402 0.402 0.795
0.598 0.598 0.205
```



# 3
The following is a DFT calculation (GGA-PBE) of crystalline ScTlFe at its relaxed geometry.

Calculated volume ... 59 Å³/cell
Spin magnetization ... 0.75 μB/atom
Energy relative to the elements ... 0.14 eV per atom
Density ... 8.6 g/cm3

Geometry as POSCAR:
```
ScTlFe
1.0
-1.076 -4.499 0.016
1.490 2.008 -3.892
2.993 -0.714 0.777
Fe Sc Tl
1 1 1
Direct
0.000 0.000 0.833
0.667 0.333 0.334
0.333 0.667 0.834
```